First-principles (PBE) data for an optimized crystal structure of TmThMgMo, as listed in Alexandria.

Cell lengths 5.1304, 5.1304, 5.1304 Å; angles 60.00, 60.00, 60.00 degrees
Sites, in units of the cell vectors:
1 Tm 0.0000 0.0000 0.0000
2 Th 0.5000 0.5000 0.5000
3 Mg 0.2500 0.2500 0.2500
4 Mo 0.7500 0.7500 0.7500

Calculated values
Density = 9064 kg/m³
Energy of formation from the pure elements = 0.16 eV per atom

First-principles (PBE) data for an optimized crystal structure of ThMgZrMo, as listed in Alexandria.

Cell lengths 5.0402, 5.0402, 5.0402 Å; angles 60.00, 60.00, 60.00 degrees
Sites, in units of the cell vectors:
1 Th 0.0000 0.0000 0.0000
2 Mg 0.7500 0.7500 0.7500
3 Zr 0.5000 0.5000 0.5000
4 Mo 0.2500 0.2500 0.2500

Calculated values
Density = 8134 kg/m³
Energy of formation from the pure elements = 0.18 eV per atom

First-principles (PBE) data for an optimized crystal structure of Mg2Ti2Mo, as listed in Alexandria.

Cell lengths 7.6015, 7.6015, 3.0813 Å; angles 90.00, 90.00, 90.00 degrees
Sites, in units of the cell vectors:
1 Mg 0.1256 0.3744 0.0000
2 Mg 0.3744 0.8744 0.0000
3 Mg 0.6256 0.1256 0.0000
4 Mg 0.8744 0.6256 0.0000
5 Ti 0.1766 0.6766 0.5000
6 Ti 0.3234 0.1766 0.5000
7 Ti 0.6766 0.8234 0.5000
8 Ti 0.8234 0.3234 0.5000
9 Mo 0.0000 0.0000 0.0000
10 Mo 0.5000 0.5000 0.0000

Calculated values
Density = 4482 kg/m³
Energy relative to the lowest polymorph listed for this composition = 0 meV/atom
Energy of formation from the pure elements = 0.60 eV per atom

First-principles (PBE) data for an optimized crystal structure of Mg14TiMo, as listed in Alexandria.

Cell lengths 6.2814, 6.2814, 10.0193 Å; angles 90.00, 90.00, 120.00 degrees
Sites, in units of the cell vectors:
1 Mg 0.0000 0.0000 0.2461
2 Mg 0.0000 0.0000 0.7539
3 Mg 0.0153 0.5076 0.2571
4 Mg 0.0153 0.5076 0.7429
5 Mg 0.3332 0.1666 0.5000
6 Mg 0.3387 0.1694 0.0000
7 Mg 0.4924 0.5076 0.2571
8 Mg 0.4924 0.5076 0.7429
9 Mg 0.4924 0.9847 0.2571
10 Mg 0.4924 0.9847 0.7429
11 Mg 0.8306 0.1694 0.0000
12 Mg 0.8306 0.6613 0.0000
13 Mg 0.8334 0.1666 0.5000
14 Mg 0.8334 0.6668 0.5000
15 Ti 0.3333 0.6667 0.0000
16 Mo 0.3333 0.6667 0.5000

Calculated values
Density = 2348 kg/m³
Energy relative to the lowest polymorph listed for this composition = 31 meV/atom
Energy of formation from the pure elements = 0.15 eV per atom

First-principles (PBE) data for an optimized crystal structure of Mg2Ti2Mo, as listed in Alexandria.

Cell lengths 7.4557, 7.4557, 7.4557 Å; angles 151.78, 151.78, 40.34 degrees
Sites, in units of the cell vectors:
1 Mg 0.0919 0.0919 0.0000
2 Mg 0.9081 0.9081 0.0000
3 Ti 0.2500 0.7500 0.5000
4 Ti 0.7500 0.2500 0.5000
5 Mo 0.5000 0.5000 0.0000

Calculated values
Density = 4314 kg/m³
Energy relative to the lowest polymorph listed for this composition = 131 meV/atom
Energy of formation from the pure elements = 0.74 eV per atom

First-principles (PBE) data for an optimized crystal structure of Mg4Ti2Mo, as listed in Alexandria.

Cell lengths 7.7673, 7.7673, 7.7673 Å; angles 141.97, 141.97, 54.88 degrees
Sites, in units of the cell vectors:
1 Mg 0.0000 0.5000 0.5000
2 Mg 0.1917 0.1917 0.0000
3 Mg 0.5000 0.0000 0.5000
4 Mg 0.8083 0.8083 0.0000
5 Ti 0.4127 0.4127 0.0000
6 Ti 0.5873 0.5873 0.0000
7 Mo 0.0000 0.0000 0.0000

Calculated values
Density = 2716 kg/m³
Energy of formation from the pure elements = 0.98 eV per atom

Please write out number 2 again, unchanged.
First-principles (PBE) data for an optimized crystal structure of ThMgZrMo, as listed in Alexandria.

Cell lengths 5.0402, 5.0402, 5.0402 Å; angles 60.00, 60.00, 60.00 degrees
Sites, in units of the cell vectors:
1 Th 0.0000 0.0000 0.0000
2 Mg 0.7500 0.7500 0.7500
3 Zr 0.5000 0.5000 0.5000
4 Mo 0.2500 0.2500 0.2500

Calculated values
Density = 8134 kg/m³
Energy of formation from the pure elements = 0.18 eV per atom